(1)
The following is a DFT calculation (meta-GGA SCAN) of TcPb2Se at its PBEsol-relaxed geometry.

It has space group I-4m2 (No. 119), with a = 4.2021 Å, b = 4.2021 Å, c = 10.4271 Å, α = 90.00°, β = 90.00° and γ = 90.00°. The inequivalent atoms are Tc at (0.0000, 0.0000, 0.0000), Pb at (0.0000, 0.0000, 0.5000), Pb at (0.0000, 0.5000, 0.2500) and Se at (0.0000, 0.5000, 0.7500).

The calculation puts the formation energy without anion corrections at 59 kJ/mol of atoms.


(2)
The following is a DFT calculation (meta-GGA SCAN) of Hf2TiAs2 at its PBEsol-relaxed geometry.

It has space group P4/mbm (No. 127), with a = 6.9111 Å, b = 6.9111 Å, c = 3.6352 Å, α = 90.00°, β = 90.00° and γ = 90.00°. The inequivalent atoms are Hf at (0.1599, 0.3401, 0.0000), Ti at (0.0000, 0.0000, 0.5000) and As at (0.1442, 0.6442, 0.5000).

The formation energy is -0.935 eV per atom.


(3)
The following is a DFT calculation (meta-GGA SCAN) of RbZn2Ge2 at its PBEsol-relaxed geometry.

It has space group I4/mmm (No. 139), with a = 4.4284 Å, b = 4.4284 Å, c = 10.6934 Å, α = 90.00°, β = 90.00° and γ = 90.00°. The inequivalent atoms are Rb at (0.0000, 0.0000, 0.0000), Zn at (0.0000, 0.5000, 0.2500) and Ge at (0.0000, 0.0000, 0.3788).

The formation energy is -0.058 eV per atom.


(4)
The following is a DFT calculation (meta-GGA SCAN) of YCoB2 at its PBEsol-relaxed geometry.

It has space group Fm-3m (No. 225), with a = 5.6574 Å, b = 5.6574 Å, c = 5.6574 Å, α = 90.00°, β = 90.00° and γ = 90.00°. The inequivalent atoms are Y at (0.0000, 0.0000, 0.0000), Co at (0.0000, 0.0000, 0.5000) and B at (0.2500, 0.2500, 0.2500).

The formation energy is 0.409 eV per atom.


Total magnetic moment for the records above, in order: 3.08, 0.00, 0.00, 0.00 μB/f.u.
E for the records above, in order: -204.3, -186.4, -86.2, -58.4 eV per formula unit